[1]
The following is a DFT calculation (GGA-PBEsol) of a geometry-optimized ZrTeI2N structure.

Cell: 5.4906 5.7259 5.7259 Å, 90.00 90.00 90.00°
Last column: nearest neighbours and their distance in Å.
Fractional positions:
N 0.5000 0.5000 0.5000  8 I 3.97, 4 Te 4.05
Te 0.5000 0.0000 0.0000  2 Zr 2.75
Zr 0.0000 0.0000 0.0000  2 Te 2.75, 4 I 2.86
I 0.0000 0.5000 0.0000  2 Zr 2.86
I 0.0000 0.0000 0.5000  2 Zr 2.86

Values from the calculation:
- Energy relative to the lowest polymorph listed for this composition: 0 meV per atom
- Space group: P4/mmm, No. 123
- Density of states at the Fermi level: 1.7 states/eV per cell

=====

[2]
The following is a DFT calculation (GGA-PBEsol) of a geometry-optimized ThIN structure.

Cell: 4.0767 4.0767 9.3024 Å, 90.00 90.00 90.00°
Last column: nearest neighbours and their distance in Å.
Fractional positions:
Th 0.5000 0.0000 0.1222  4 N 2.33
Th 0.0000 0.5000 0.8778  4 N 2.33
I 0.5000 0.0000 0.6690  4 Th 3.48, 4 N 3.69
I 0.0000 0.5000 0.3310  4 Th 3.48, 4 N 3.69
N 0.5000 0.5000 0.0000  4 Th 2.33
N 0.0000 0.0000 0.0000  4 Th 2.33

Values from the calculation:
- Space group: P4/nmm, No. 129
- Density of states at the Fermi level: 0.0 states/eV per cell

=====

[3]
The following is a DFT calculation (GGA-PBEsol) of a geometry-optimized TiIN2 structure.

Cell: 3.4784 3.4784 6.3831 Å, 74.19 74.19 60.00°
Last column: nearest neighbours and their distance in Å.
Fractional positions:
N 0.1079 0.1079 0.6764  1 Ti 1.96
N 0.8921 0.8921 0.3236  1 Ti 1.96
I 0.5000 0.5000 0.5000  6 N 2.27
Ti 0.0000 0.0000 0.0000  2 N 1.96

Values from the calculation:
- Space group: R-3m, No. 166
- Density of states at the Fermi level: 3.0 states/eV per cell

=====

[4]
The following is a DFT calculation (GGA-PBEsol) of a geometry-optimized TlI2N structure.

Cell: 7.1899 7.1899 7.1899 Å, 60.00 60.00 60.00°
Last column: nearest neighbours and their distance in Å.
Fractional positions:
N 0.0000 0.0000 0.0000  4 I 2.20
N 0.2500 0.2500 0.2500  4 I 2.20
Tl 0.5000 0.5000 0.5000  12 I 4.22, 4 N 4.40, 4 Tl 4.40
Tl 0.7500 0.7500 0.7500  12 I 4.22, 4 Tl 4.40, 4 N 4.40
I 0.1250 0.6250 0.1250  2 N 2.20
I 0.1250 0.1250 0.1250  2 N 2.20
I 0.6250 0.1250 0.1250  2 N 2.20
I 0.1250 0.1250 0.6250  2 N 2.20

Values from the calculation:
- Space group: Fd-3m, No. 227

=====

[5]
The following is a DFT calculation (GGA-PBEsol) of a geometry-optimized Tl3IN structure.

Cell: 6.3774 6.3774 6.3774 Å, 90.00 90.00 90.00°
Last column: nearest neighbours and their distance in Å.
Fractional positions:
Tl 0.0000 0.5000 0.0000  2 I 3.19
Tl 0.5000 0.0000 0.0000  2 I 3.19
Tl 0.0000 0.0000 0.5000  2 I 3.19
I 0.0000 0.0000 0.0000  6 Tl 3.19
N 0.5000 0.5000 0.5000  12 Tl 4.51

Values from the calculation:
- Space group: Pm-3m, No. 221
- Density of states at the Fermi level: 4.2 states/eV per cell

=====

[6]
The following is a DFT calculation (GGA-PBEsol) of a geometry-optimized ZrTlI2N structure.

Cell: 4.0194 5.9415 5.9415 Å, 90.00 90.00 90.00°
Last column: nearest neighbours and their distance in Å.
Fractional positions:
N 0.5000 0.0000 0.0000  2 Zr 2.01
I 0.0000 0.5000 0.0000  2 Zr 2.97
I 0.0000 0.0000 0.5000  2 Zr 2.97
Zr 0.0000 0.0000 0.0000  2 N 2.01
Tl 0.5000 0.5000 0.5000  8 I 3.59

Values from the calculation:
- Space group: P4/mmm, No. 123
- Density of states at the Fermi level: 1.5 states/eV per cell

=====

no.,final energy (eV per atom),E_form (uncorrected) (eV per formula unit),V (Å³/cell)
1,-4.3398,3.0,180.0
2,-7.9856,-5.6,154.6
3,-5.6772,4.4,63.5
4,-3.1657,2.0,262.8
5,-2.3335,6.5,259.4
6,-5.2319,-2.4,141.9